PBE-GGA CeThTc, relaxed; energy relative to the lowest polymorph listed for this composition = 92 meV/atom; density = 11.1 g cm⁻³; symmetry = No. 156
1.0
3.5896 0.0000 0.0000
0.0000 4.7591 0.0000
0.0000 -2.3796 4.1215
Th Ce Tc
1 1 1
direct
0.6842 0.3333 0.6667
0.3106 0.6667 0.3333
0.0052 0.0000 0.0000